(1)
{
  "formula": "Tb2DyRe",
  "functional": "PBE",
  "state": "optimized geometry",
  "magmom_total_mub_per_fu": 0.00,
  "energy_ev_per_cell": -24.9,
  "lattice": [[3.442, 0.000, 0.000], [1.721, 2.981, 0.000], [1.721, 0.994, 10.437]],
  "species": ["Re", "Tb", "Tb", "Dy"],
  "fractional_positions": [[0.000, 0.000, 0.000], [0.267, 0.267, 0.199], [0.733, 0.733, 0.801], [0.500, 0.500, 0.500]]
}

***

(2)
{
  "formula": "Nd2MgCu2Pt5",
  "functional": "PBE",
  "state": "optimized geometry",
  "magmom_total_mub_per_fu": 0.00,
  "energy_ev_per_cell": -114.6,
  "lattice": [[-1.857, 0.627, 3.432], [-8.420, -1.239, -4.329], [0.389, -9.346, 1.917]],
  "species": ["Nd", "Nd", "Nd", "Nd", "Mg", "Mg", "Cu", "Cu", "Cu", "Cu", "Pt", "Pt", "Pt", "Pt", "Pt", "Pt", "Pt", "Pt", "Pt", "Pt"],
  "fractional_positions": [[0.000, 0.677, 0.177], [0.000, 0.323, 0.823], [0.000, 0.177, 0.323], [0.000, 0.823, 0.677], [0.000, 0.000, 0.000], [0.000, 0.500, 0.500], [0.000, 0.119, 0.619], [0.000, 0.881, 0.381], [0.000, 0.619, 0.881], [0.000, 0.381, 0.119], [0.500, 0.207, 0.068], [0.500, 0.793, 0.932], [0.500, 0.068, 0.793], [0.500, 0.707, 0.432], [0.500, 0.932, 0.207], [0.500, 0.293, 0.568], [0.500, 0.568, 0.707], [0.500, 0.432, 0.293], [0.500, 0.500, 0.000], [0.500, 0.000, 0.500]]
}

***

(3)
{
  "formula": "Nd4IrPtBr2",
  "functional": "PBE",
  "state": "optimized geometry",
  "magmom_total_mub_per_fu": 0.00,
  "formation_energy_uncorrected_kj_per_mol_atoms": -113.83,
  "lattice": [[4.202, 0.000, 0.000], [0.000, 7.287, 0.111], [0.000, -2.570, 7.732]],
  "species": ["Nd", "Nd", "Nd", "Nd", "Ir", "Pt", "Br", "Br"],
  "fractional_positions": [[0.500, 0.227, 0.195], [0.500, 0.773, 0.805], [0.000, 0.261, 0.804], [0.000, 0.739, 0.196], [0.000, 0.000, 0.000], [0.500, 0.500, 0.000], [0.500, 0.000, 0.500], [0.000, 0.500, 0.500]]
}